No. 1
VASP calculation (PBE-GGA) on EuDyPdRh after structural relaxation.

Geometry as POSCAR:
```
EuDyPdRh
1.0
0.000 3.510 3.510
3.510 0.000 3.510
3.510 3.510 0.000
Eu Dy Pd Rh
1 1 1 1
Direct
0.000 0.000 0.000
0.500 0.500 0.500
0.250 0.250 0.250
0.750 0.750 0.750
```

Summary:
- Size of the total moment: 1.714 μB per atom
- DOS(E_F): 3.18 states/eV/atom
- Energy of formation: -0.6682 eV per atom



No. 2
VASP calculation (PBE-GGA) on PmEuDy2 after structural relaxation.

Geometry as POSCAR:
```
PmEuDy2
1.0
3.645 0.000 0.000
0.000 3.645 0.000
0.000 0.000 10.315
Pm Eu Dy
1 1 2
Direct
0.000 0.000 0.000
0.000 0.000 0.500
0.500 0.500 0.237
0.500 0.500 0.763
```

Summary:
- Size of the total moment: 1.896 μB per atom
- DOS(E_F): 1.46 states/eV/atom
- Energy of formation: 0.0611 eV per atom



No. 3
VASP calculation (PBE-GGA) on PmEuDy2 after structural relaxation.

Geometry as POSCAR:
```
PmEuDy2
1.0
5.136 0.000 0.000
0.000 5.136 0.000
0.000 0.000 5.123
Pm Eu Dy
1 1 2
Direct
0.000 0.000 0.000
0.500 0.500 0.000
0.000 0.500 0.500
0.500 0.000 0.500
```

Summary:
- Size of the total moment: 1.774 μB per atom
- DOS(E_F): 1.48 states/eV/atom
- Energy of formation: 0.0833 eV per atom



No. 4
VASP calculation (PBE-GGA) on PmEuDy2 after structural relaxation.

Geometry as POSCAR:
```
PmEuDy2
1.0
0.000 4.085 4.085
4.085 0.000 4.085
4.085 4.085 0.000
Pm Eu Dy
1 1 2
Direct
0.000 0.000 0.000
0.500 0.500 0.500
0.250 0.250 0.250
0.750 0.750 0.750
```

Summary:
- Size of the total moment: 1.859 μB per atom
- DOS(E_F): 1.96 states/eV/atom
- Energy of formation: 0.1580 eV per atom



No. 5
VASP calculation (PBE-GGA) on PmEuDy2 after structural relaxation.

Geometry as POSCAR:
```
PmEuDy2
1.0
1.817 1.049 11.896
-1.817 1.049 11.896
0.000 -2.098 11.896
Pm Eu Dy
1 1 2
Direct
0.000 0.000 0.000
0.500 0.500 0.500
0.253 0.253 0.253
0.747 0.747 0.747
```

Summary:
- Size of the total moment: 1.929 μB per atom
- DOS(E_F): 1.40 states/eV/atom
- Energy of formation: 0.0555 eV per atom



No. 6
VASP calculation (PBE-GGA) on PmPrEuDy after structural relaxation.

Geometry as POSCAR:
```
PmPrEuDy
1.0
0.000 4.139 4.139
4.139 0.000 4.139
4.139 4.139 0.000
Pm Pr Eu Dy
1 1 1 1
Direct
0.000 0.000 0.000
0.500 0.500 0.500
0.250 0.250 0.250
0.750 0.750 0.750
```

Summary:
- Size of the total moment: 1.958 μB per atom
- DOS(E_F): 1.65 states/eV/atom
- Energy of formation: 0.1358 eV per atom



No. 7
VASP calculation (PBE-GGA) on PmEuDySc after structural relaxation.

Geometry as POSCAR:
```
PmEuDySc
1.0
0.000 3.998 3.998
3.998 0.000 3.998
3.998 3.998 0.000
Pm Eu Dy Sc
1 1 1 1
Direct
0.000 0.000 0.000
0.500 0.500 0.500
0.750 0.750 0.750
0.250 0.250 0.250
```

Summary:
- Size of the total moment: 1.735 μB per atom
- DOS(E_F): 1.71 states/eV/atom
- Energy of formation: 0.1665 eV per atom



No. 8
VASP calculation (PBE-GGA) on PmEuDySn after structural relaxation.

Geometry as POSCAR:
```
PmEuDySn
1.0
0.000 3.897 3.897
3.897 0.000 3.897
3.897 3.897 0.000
Pm Eu Dy Sn
1 1 1 1
Direct
0.000 0.000 0.000
0.250 0.250 0.250
0.500 0.500 0.500
0.750 0.750 0.750
```

Summary:
- Size of the total moment: 1.949 μB per atom
- DOS(E_F): 1.42 states/eV/atom
- Energy of formation: -0.2553 eV per atom



No. 9
VASP calculation (PBE-GGA) on SrPmEuDy after structural relaxation.

Geometry as POSCAR:
```
SrPmEuDy
1.0
0.000 4.259 4.259
4.259 0.000 4.259
4.259 4.259 0.000
Sr Pm Eu Dy
1 1 1 1
Direct
0.000 0.000 0.000
0.250 0.250 0.250
0.750 0.750 0.750
0.500 0.500 0.500
```

Summary:
- Size of the total moment: 1.865 μB per atom
- DOS(E_F): 1.44 states/eV/atom
- Energy of formation: 0.2013 eV per atom



No. 10
VASP calculation (PBE-GGA) on TbPmEuDy after structural relaxation.

Geometry as POSCAR:
```
TbPmEuDy
1.0
0.000 4.090 4.090
4.090 0.000 4.090
4.090 4.090 0.000
Tb Pm Eu Dy
1 1 1 1
Direct
0.000 0.000 0.000
0.250 0.250 0.250
0.750 0.750 0.750
0.500 0.500 0.500
```

Summary:
- Size of the total moment: 1.913 μB per atom
- DOS(E_F): 1.98 states/eV/atom
- Energy of formation: 0.1589 eV per atom



No. 11
VASP calculation (PBE-GGA) on PmEuDyTm after structural relaxation.

Geometry as POSCAR:
```
PmEuDyTm
1.0
0.000 4.069 4.069
4.069 0.000 4.069
4.069 4.069 0.000
Pm Eu Dy Tm
1 1 1 1
Direct
0.000 0.000 0.000
0.500 0.500 0.500
0.250 0.250 0.250
0.750 0.750 0.750
```

Summary:
- Size of the total moment: 1.780 μB per atom
- DOS(E_F): 1.76 states/eV/atom
- Energy of formation: 0.1525 eV per atom



No. 12
VASP calculation (PBE-GGA) on PrEuDy2 after structural relaxation.

Geometry as POSCAR:
```
PrEuDy2
1.0
1.828 1.056 11.916
-1.828 1.056 11.916
0.000 -2.111 11.916
Pr Eu Dy
1 1 2
Direct
0.000 0.000 0.000
0.500 0.500 0.500
0.252 0.252 0.252
0.748 0.748 0.748
```

Summary:
- Size of the total moment: 1.934 μB per atom
- DOS(E_F): 1.35 states/eV/atom
- Energy of formation: 0.0555 eV per atom



Among the records above, which one has the lowest size of the total moment? EuDyPdRh